Material: RbUMoO6
Method: DFT, PBE with a Hubbard U
State: relaxed

Unit cell a=7.670 b=7.670 c=7.670 alpha=122.33 beta=118.03 gamma=89.73
Sites, in units of the cell vectors:
Rb (0.379, 0.129, 0.250)
Rb (0.621, 0.871, 0.750)
U (0.000, 0.500, 0.500)
U (0.500, 0.500, 0.000)
Mo (0.000, 0.000, 0.500)
Mo (0.000, 0.500, 0.000)
O (0.053, 0.803, 0.250)
O (0.059, 0.429, 0.236)
O (0.059, 0.823, 0.630)
O (0.307, 0.177, 0.736)
O (0.307, 0.571, 0.130)
O (0.324, 0.574, 0.750)
O (0.676, 0.426, 0.250)
O (0.693, 0.429, 0.870)
O (0.693, 0.823, 0.264)
O (0.941, 0.177, 0.370)
O (0.941, 0.571, 0.764)
O (0.947, 0.197, 0.750)

Summary:
Crystal system: orthorhombic
Total energy (eV/cell): -140.857